Version one
# AsHPb, relaxed, DFT PBE
data_AsHPb
_chemical_formula_sum 'As2 H2 Pb2'
_cell_length_a 4.287
_cell_length_b 4.287
_cell_length_c 6.975
_cell_angle_alpha 90.00
_cell_angle_beta 90.00
_cell_angle_gamma 90.00
_symmetry_space_group_name_H-M 'I 4 m m'
_symmetry_Int_Tables_number 107
_symmetry_space_group_name_Hall 'I 4 -2'
loop_
_atom_site_label
_atom_site_type_symbol
_atom_site_fract_x
_atom_site_fract_y
_atom_site_fract_z
_atom_site_occupancy
As1 As 0.000 0.000 0.000 1
H1 H 0.000 0.000 0.231 1
Pb1 Pb 0.000 0.000 0.558 1
# crystal system: tetragonal
# calculated volume: 21.37 A^3/atom

---

Version two
# AsHPb, relaxed, DFT PBE
data_AsHPb
_chemical_formula_sum 'As4 H4 Pb4'
_cell_length_a 5.854
_cell_length_b 5.850
_cell_length_c 9.116
_cell_angle_alpha 90.00
_cell_angle_beta 95.85
_cell_angle_gamma 90.00
_symmetry_space_group_name_H-M 'C 1 2/m 1'
_symmetry_Int_Tables_number 12
loop_
_symmetry_equiv_pos_as_xyz
'x,y,z'
'-x,-y,-z'
'-x,y,-z'
'x,-y,z'
'x+1/2,y+1/2,z'
'-x+1/2,-y+1/2,-z'
'-x+1/2,y+1/2,-z'
'x+1/2,-y+1/2,z'
loop_
_atom_site_label
_atom_site_type_symbol
_atom_site_fract_x
_atom_site_fract_y
_atom_site_fract_z
_atom_site_occupancy
As1 As 0.220 0.000 0.312 1
H1 H 0.044 0.500 0.972 1
Pb1 Pb 0.229 0.500 0.369 1
# crystal system: monoclinic
# calculated volume: 25.88 A^3/atom

---

Verdict on stability: version one comes out at the bottom.

---

Version one
# As2HPb, relaxed, DFT PBE
data_As2HPb
_chemical_formula_sum 'As8 H4 Pb4'
_cell_length_a 5.068
_cell_length_b 5.068
_cell_length_c 13.526
_cell_angle_alpha 90.00
_cell_angle_beta 90.00
_cell_angle_gamma 90.00
_symmetry_space_group_name_H-M 'I -4 2 d'
_symmetry_Int_Tables_number 122
_symmetry_space_group_name_Hall 'I -4 2bw'
loop_
_atom_site_label
_atom_site_type_symbol
_atom_site_fract_x
_atom_site_fract_y
_atom_site_fract_z
_atom_site_occupancy
As1 As 0.087 0.250 0.125 1
H1 H 0.000 0.000 0.000 1
Pb1 Pb 0.000 0.000 0.500 1
# crystal system: tetragonal
# calculated volume: 21.71 A^3/atom

---

Version two
# As2HPb, relaxed, DFT PBE
data_As2HPb
_chemical_formula_sum 'As8 H4 Pb4'
_cell_length_a 6.820
_cell_length_b 6.820
_cell_length_c 6.820
_cell_angle_alpha 90.00
_cell_angle_beta 90.00
_cell_angle_gamma 90.00
_symmetry_space_group_name_H-M 'F m -3 m'
_symmetry_Int_Tables_number 225
_symmetry_space_group_name_Hall '-F 4 2 3'
loop_
_atom_site_label
_atom_site_type_symbol
_atom_site_fract_x
_atom_site_fract_y
_atom_site_fract_z
_atom_site_occupancy
As1 As 0.250 0.250 0.250 1
H1 H 0.000 0.000 0.000 1
Pb1 Pb 0.000 0.000 0.500 1
# crystal system: cubic
# calculated volume: 19.82 A^3/atom

---

Verdict on stability: version two comes out at the bottom.

---

Version one
# As2HPbSe, relaxed, DFT PBE
data_As2HPbSe
_chemical_formula_sum 'As2 H1 Pb1 Se1'
_cell_length_a 5.576
_cell_length_b 5.576
_cell_length_c 5.570
_cell_angle_alpha 90.00
_cell_angle_beta 90.00
_cell_angle_gamma 90.00
_symmetry_space_group_name_H-M 'P 4/m m m'
_symmetry_Int_Tables_number 123
_symmetry_space_group_name_Hall '-P 4 2'
loop_
_atom_site_label
_atom_site_type_symbol
_atom_site_fract_x
_atom_site_fract_y
_atom_site_fract_z
_atom_site_occupancy
As1 As 0.000 0.500 0.000 1
H1 H 0.000 0.000 0.500 1
Pb1 Pb 0.500 0.500 0.000 1
Se1 Se 0.500 0.500 0.500 1
# crystal system: tetragonal
# calculated volume: 34.64 A^3/atom

---

Version two
# As2HPbSe, relaxed, DFT PBE
data_As2HPbSe
_chemical_formula_sum 'As2 H1 Pb1 Se1'
_cell_length_a 4.148
_cell_length_b 4.148
_cell_length_c 5.887
_cell_angle_alpha 90.00
_cell_angle_beta 90.00
_cell_angle_gamma 90.00
_symmetry_space_group_name_H-M 'P 4/m m m'
_symmetry_Int_Tables_number 123
_symmetry_space_group_name_Hall '-P 4 2'
loop_
_atom_site_label
_atom_site_type_symbol
_atom_site_fract_x
_atom_site_fract_y
_atom_site_fract_z
_atom_site_occupancy
As1 As 0.000 0.500 0.000 1
H1 H 0.000 0.000 0.000 1
Pb1 Pb 0.500 0.500 0.500 1
Se1 Se 0.000 0.000 0.500 1
# crystal system: tetragonal
# calculated volume: 20.26 A^3/atom

---

Verdict on stability: version one comes out at the bottom.

---

Version one
# AsH2Pd, relaxed, DFT PBE
data_AsH2Pd
_chemical_formula_sum 'As4 H8 Pd4'
_cell_length_a 5.475
_cell_length_b 5.475
_cell_length_c 5.475
_cell_angle_alpha 90.00
_cell_angle_beta 90.00
_cell_angle_gamma 90.00
_symmetry_space_group_name_H-M 'F m -3 m'
_symmetry_Int_Tables_number 225
_symmetry_space_group_name_Hall '-F 4 2 3'
loop_
_atom_site_label
_atom_site_type_symbol
_atom_site_fract_x
_atom_site_fract_y
_atom_site_fract_z
_atom_site_occupancy
As1 As 0.000 0.000 0.000 1
H1 H 0.250 0.250 0.250 1
Pd1 Pd 0.000 0.000 0.500 1
# crystal system: cubic
# calculated volume: 10.26 A^3/atom

---

Version two
# AsH2Pd, relaxed, DFT PBE
data_AsH2Pd
_chemical_formula_sum 'As4 H8 Pd4'
_cell_length_a 4.666
_cell_length_b 4.666
_cell_length_c 8.251
_cell_angle_alpha 90.00
_cell_angle_beta 90.00
_cell_angle_gamma 90.00
_symmetry_space_group_name_H-M 'I -4 2 d'
_symmetry_Int_Tables_number 122
_symmetry_space_group_name_Hall 'I -4 2bw'
loop_
_atom_site_label
_atom_site_type_symbol
_atom_site_fract_x
_atom_site_fract_y
_atom_site_fract_z
_atom_site_occupancy
As1 As 0.000 0.000 0.000 1
H1 H 0.170 0.250 0.625 1
Pd1 Pd 0.000 0.000 0.500 1
# crystal system: tetragonal
# calculated volume: 11.23 A^3/atom

---

Verdict on stability: version one comes out at the bottom.

---

Version one
# AsH2Pd8, relaxed, DFT PBE
data_AsH2Pd8
_chemical_formula_sum 'As1 H2 Pd8'
_cell_length_a 5.8029
_cell_length_b 5.8029
_cell_length_c 5.3064
_cell_angle_alpha 90.00
_cell_angle_beta 90.00
_cell_angle_gamma 120.00
_symmetry_space_group_name_H-M 'P -3 m 1'
_symmetry_Int_Tables_number 164
_symmetry_space_group_name_Hall '-P 3 2"'
loop_
_atom_site_label
_atom_site_type_symbol
_atom_site_fract_x
_atom_site_fract_y
_atom_site_fract_z
_atom_site_occupancy
As1 As 0.0000 0.0000 0.0000 1
H1 H 0.3333 0.6667 0.1041 1
Pd1 Pd 0.1746 0.3493 0.2956 1
Pd2 Pd 0.3333 0.6667 0.7654 1
# crystal system: trigonal
# calculated volume: 14.07 A^3/atom

---

Version two
# AsH2Pd8, relaxed, DFT PBE
data_AsH2Pd8
_chemical_formula_sum 'As2 H4 Pd16'
_cell_length_a 13.165
_cell_length_b 4.533
_cell_length_c 5.187
_cell_angle_alpha 90.00
_cell_angle_beta 109.88
_cell_angle_gamma 90.00
_symmetry_space_group_name_H-M 'C 1 2/m 1'
_symmetry_Int_Tables_number 12
loop_
_symmetry_equiv_pos_as_xyz
'x,y,z'
'-x,-y,-z'
'-x,y,-z'
'x,-y,z'
'x+1/2,y+1/2,z'
'-x+1/2,-y+1/2,-z'
'-x+1/2,y+1/2,-z'
'x+1/2,-y+1/2,z'
loop_
_atom_site_label
_atom_site_type_symbol
_atom_site_fract_x
_atom_site_fract_y
_atom_site_fract_z
_atom_site_occupancy
As1 As 0.000 0.000 0.000 1
H1 H 0.166 0.500 0.673 1
Pd1 Pd 0.052 0.500 0.794 1
Pd2 Pd 0.101 0.000 0.496 1
Pd3 Pd 0.180 0.500 0.348 1
Pd4 Pd 0.200 0.000 0.057 1
# crystal system: monoclinic
# calculated volume: 13.23 A^3/atom

---

Verdict on stability: version one comes out at the bottom.

---

Version one
# PmAsHPd, relaxed, DFT PBE
data_PmAsHPd
_chemical_formula_sum 'Pm4 As4 H4 Pd4'
_cell_length_a 6.487
_cell_length_b 6.487
_cell_length_c 6.487
_cell_angle_alpha 90.00
_cell_angle_beta 90.00
_cell_angle_gamma 90.00
_symmetry_space_group_name_H-M 'F -4 3 m'
_symmetry_Int_Tables_number 216
_symmetry_space_group_name_Hall 'F -4 2 3'
loop_
_atom_site_label
_atom_site_type_symbol
_atom_site_fract_x
_atom_site_fract_y
_atom_site_fract_z
_atom_site_occupancy
Pm1 Pm 0.000 0.000 0.000 1
As1 As 0.000 0.000 0.500 1
H1 H 0.250 0.250 0.750 1
Pd1 Pd 0.250 0.250 0.250 1
# crystal system: cubic
# calculated volume: 17.06 A^3/atom

---

Version two
# PmAsHPd, relaxed, DFT PBE
data_PmAsHPd
_chemical_formula_sum 'Pm1 As1 H1 Pd1'
_cell_length_a 4.3709
_cell_length_b 4.3709
_cell_length_c 3.9489
_cell_angle_alpha 90.00
_cell_angle_beta 90.00
_cell_angle_gamma 120.00
_symmetry_space_group_name_H-M 'P 3 m 1'
_symmetry_Int_Tables_number 156
loop_
_symmetry_equiv_pos_as_xyz
'x,y,z'
'-y,x-y,z'
'-x+y,-x,z'
'-y,-x,z'
'-x+y,y,z'
'x,x-y,z'
loop_
_atom_site_label
_atom_site_type_symbol
_atom_site_fract_x
_atom_site_fract_y
_atom_site_fract_z
_atom_site_occupancy
Pm1 Pm 0.0000 0.0000 0.0000 1
As1 As 0.3333 0.6667 0.5215 1
H1 H 0.6667 0.3333 0.0101 1
Pd1 Pd 0.6667 0.3333 0.4810 1
# crystal system: trigonal
# calculated volume: 16.33 A^3/atom

---

Verdict on stability: version one comes out at the bottom.